TlOsSeBr2 | GGA-PBE | optimized geometry

abc: 5.6032 5.6032 5.4344
angles: 90.00 90.00 90.00
Closest atoms and distances in Å follow each position.
Atoms (fractional coordinates):
Tl (0.0000, 0.0000, 0.0000)  2 Se 2.72, 4 Br 2.80
Os (0.5000, 0.5000, 0.5000)  8 Br 3.90, 4 Se 3.96
Se (0.0000, 0.0000, 0.5000)  2 Tl 2.72
Br (0.0000, 0.5000, 0.0000)  2 Tl 2.80
Br (0.5000, 0.0000, 0.0000)  2 Tl 2.80

Values from the calculation:
Total magnetization in μB per cell: 5.2
SG: No. 123
Formation energy from raw total energies in eV/atom: 1.360

TlOsSeBr2 | GGA-PBE | optimized geometry

abc: 5.4156 5.4156 4.6657
angles: 90.00 90.00 90.00
Closest atoms and distances in Å follow each position.
Atoms (fractional coordinates):
Tl (0.0000, 0.0000, 0.0000)  8 Br 3.57, 4 Se 3.83
Os (0.5000, 0.5000, 0.5000)  2 Se 2.33
Se (0.5000, 0.5000, 0.0000)  2 Os 2.33
Br (0.0000, 0.5000, 0.5000)  2 Os 2.71
Br (0.5000, 0.0000, 0.5000)  2 Os 2.71

Values from the calculation:
Total magnetization in μB per cell: 0.0
SG: No. 123
Formation energy from raw total energies in eV/atom: 0.081

VOsSeBr2 | GGA-PBE | optimized geometry

abc: 4.9567 4.9567 4.8804
angles: 90.00 90.00 90.00
Closest atoms and distances in Å follow each position.
Atoms (fractional coordinates):
V (0.0000, 0.0000, 0.0000)  2 Se 2.44, 4 Br 2.48
Os (0.5000, 0.5000, 0.5000)  8 Br 3.48, 4 Se 3.50
Se (0.0000, 0.0000, 0.5000)  2 V 2.44
Br (0.0000, 0.5000, 0.0000)  2 V 2.48
Br (0.5000, 0.0000, 0.0000)  2 V 2.48

Values from the calculation:
Total magnetization in μB per cell: 4.3
SG: No. 123
Formation energy from raw total energies in eV/atom: 1.105

VOsSeBr2 | GGA-PBE | optimized geometry

abc: 5.1997 5.1997 4.7007
angles: 90.00 90.00 90.00
Closest atoms and distances in Å follow each position.
Atoms (fractional coordinates):
V (0.0000, 0.0000, 0.0000)  8 Br 3.50, 4 Se 3.68
Os (0.5000, 0.5000, 0.5000)  2 Se 2.35, 4 Br 2.60
Se (0.5000, 0.5000, 0.0000)  2 Os 2.35
Br (0.0000, 0.5000, 0.5000)  2 Os 2.60
Br (0.5000, 0.0000, 0.5000)  2 Os 2.60

Values from the calculation:
Total magnetization in μB per cell: 0.1
SG: No. 123
Formation energy from raw total energies in eV/atom: 1.114

VOsSe2Br | GGA-PBE | optimized geometry

abc: 4.8389 4.8389 4.9741
angles: 90.00 90.00 90.00
Closest atoms and distances in Å follow each position.
Atoms (fractional coordinates):
V (0.0000, 0.0000, 0.0000)  4 Se 2.42, 2 Br 2.49
Os (0.5000, 0.5000, 0.5000)  4 Br 3.42, 8 Se 3.47
Se (0.0000, 0.5000, 0.0000)  2 V 2.42
Se (0.5000, 0.0000, 0.0000)  2 V 2.42
Br (0.0000, 0.0000, 0.5000)  2 V 2.49

Values from the calculation:
Total magnetization in μB per cell: 5.4
SG: No. 123
Formation energy from raw total energies in eV/atom: 1.061

OsWSeBr2 | GGA-PBE | optimized geometry

abc: 5.1566 5.1566 4.7177
angles: 90.00 90.00 90.00
Closest atoms and distances in Å follow each position.
Atoms (fractional coordinates):
Os (0.0000, 0.0000, 0.0000)  2 Se 2.36, 4 Br 2.58
W (0.5000, 0.5000, 0.5000)  8 Br 3.49, 4 Se 3.65
Se (0.0000, 0.0000, 0.5000)  2 Os 2.36
Br (0.0000, 0.5000, 0.0000)  2 Os 2.58
Br (0.5000, 0.0000, 0.0000)  2 Os 2.58

Values from the calculation:
Total magnetization in μB per cell: 4.3
SG: No. 123
Formation energy from raw total energies in eV/atom: 1.578

OsWSeBr2 | GGA-PBE | optimized geometry

abc: 5.1572 5.1572 4.8763
angles: 90.00 90.00 90.00
Closest atoms and distances in Å follow each position.
Atoms (fractional coordinates):
Os (0.0000, 0.0000, 0.0000)  8 Br 3.55, 4 Se 3.65
W (0.5000, 0.5000, 0.5000)  2 Se 2.44, 4 Br 2.58
Se (0.5000, 0.5000, 0.0000)  2 W 2.44
Br (0.0000, 0.5000, 0.5000)  2 W 2.58
Br (0.5000, 0.0000, 0.5000)  2 W 2.58

Values from the calculation:
Total magnetization in μB per cell: 5.2
SG: No. 123
Formation energy from raw total energies in eV/atom: 1.568

YOsSe2Br | GGA-PBE | optimized geometry

abc: 5.4934 5.4934 5.4067
angles: 90.00 90.00 90.00
Closest atoms and distances in Å follow each position.
Atoms (fractional coordinates):
Y (0.0000, 0.0000, 0.0000)  2 Br 2.70, 4 Se 2.75
Os (0.5000, 0.5000, 0.5000)  8 Se 3.85, 4 Br 3.88
Se (0.0000, 0.5000, 0.0000)  2 Y 2.75
Se (0.5000, 0.0000, 0.0000)  2 Y 2.75
Br (0.0000, 0.0000, 0.5000)  2 Y 2.70

Values from the calculation:
Total magnetization in μB per cell: 4.9
SG: No. 123
Formation energy from raw total energies in eV/atom: 0.618

YOsSe2Br | GGA-PBE | optimized geometry

abc: 4.9302 4.9302 4.9652
angles: 90.00 90.00 90.00
Closest atoms and distances in Å follow each position.
Atoms (fractional coordinates):
Y (0.0000, 0.0000, 0.0000)  4 Br 3.49, 8 Se 3.50
Os (0.5000, 0.5000, 0.5000)  4 Se 2.47, 2 Br 2.48
Se (0.0000, 0.5000, 0.5000)  2 Os 2.47
Se (0.5000, 0.0000, 0.5000)  2 Os 2.47
Br (0.5000, 0.5000, 0.0000)  2 Os 2.48

Values from the calculation:
Total magnetization in μB per cell: 0.0
SG: No. 123
Formation energy from raw total energies in eV/atom: -0.026

ZnOsSe2Br | GGA-PBE | optimized geometry

abc: 4.8198 4.8198 5.3650
angles: 90.00 90.00 90.00
Closest atoms and distances in Å follow each position.
Atoms (fractional coordinates):
Zn (0.0000, 0.0000, 0.0000)  4 Br 3.41, 8 Se 3.61
Os (0.5000, 0.5000, 0.5000)  4 Se 2.41, 2 Br 2.68
Se (0.0000, 0.5000, 0.5000)  2 Os 2.41
Se (0.5000, 0.0000, 0.5000)  2 Os 2.41
Br (0.5000, 0.5000, 0.0000)  2 Os 2.68

Values from the calculation:
Total magnetization in μB per cell: 0.0
SG: No. 123
Formation energy from raw total energies in eV/atom: 0.505

ZnOsSe2Br | GGA-PBE | optimized geometry

abc: 4.9307 4.9307 4.9318
angles: 90.00 90.00 90.00
Closest atoms and distances in Å follow each position.
Atoms (fractional coordinates):
Zn (0.0000, 0.0000, 0.0000)  4 Se 2.47, 2 Br 2.47
Os (0.5000, 0.5000, 0.5000)  4 Br 3.49, 8 Se 3.49
Se (0.0000, 0.5000, 0.0000)  2 Zn 2.47
Se (0.5000, 0.0000, 0.0000)  2 Zn 2.47
Br (0.0000, 0.0000, 0.5000)  2 Zn 2.47

Values from the calculation:
Total magnetization in μB per cell: 4.1
SG: No. 123
Formation energy from raw total energies in eV/atom: 1.301

ZrOsSe2Br | GGA-PBE | optimized geometry

abc: 5.2202 5.2202 5.3064
angles: 90.00 90.00 90.00
Closest atoms and distances in Å follow each position.
Atoms (fractional coordinates):
Zr (0.0000, 0.0000, 0.0000)  4 Se 2.61, 2 Br 2.65
Os (0.5000, 0.5000, 0.5000)  4 Br 3.69, 8 Se 3.72
Se (0.0000, 0.5000, 0.0000)  2 Zr 2.61
Se (0.5000, 0.0000, 0.0000)  2 Zr 2.61
Br (0.0000, 0.0000, 0.5000)  2 Zr 2.65

Values from the calculation:
Total magnetization in μB per cell: 4.9
SG: No. 123
Formation energy from raw total energies in eV/atom: 0.717